[1]
Material: AlFeSi3
Method: DFT, PBEsol
State: optimized geometry

The structure in POSCAR format:
```
AlFeSi3
1.0
4.3277 0.0000 0.0000
0.0000 4.3277 0.0000
0.0000 0.0000 4.3277
Si Fe Al
3 1 1
Cartesian
0.0000 2.1639 0.0000 Si
0.0000 0.0000 2.1639 Si
2.1639 0.0000 0.0000 Si
0.0000 0.0000 0.0000 Fe
2.1639 2.1639 2.1639 Al
```

Output
SG = Pm-3m
E_form (uncorrected) = 282.5 meV per atom
VASP energy = -5.7765 eV/atom



[2]
Material: CoRe2Tc
Method: DFT, PBEsol
State: optimized geometry

The structure in POSCAR format:
```
CoRe2Tc
1.0
3.7843 0.0000 0.0000
0.0000 3.7843 0.0000
-1.8921 -1.8921 3.7244
Tc Re Co
1 2 1
Cartesian
1.8921 1.8921 0.0000 Tc
0.0000 0.0000 0.0000 Re
1.8921 0.0000 1.8622 Re
0.0000 1.8921 1.8622 Co
```

Output
SG = I-4m2
energy of formation = 9 kJ/mol of formula units
energy above the most stable polymorph in this dataset = 0.06 eV/f.u.
VASP energy = -11.3937 eV/atom



- Which of these has the lowest VASP energy?
  CoRe2Tc